# LaHoAlCd PBE-GGA relaxed
# Total magnetic moment ... 0.0 μB per formula unit
# Distance to the lowest polymorph of the same formula ... 0 meV per atom
data_LaHoAlCd
_cell_length_a 3.6650
_cell_length_b 3.6650
_cell_length_c 7.9114
_cell_angle_alpha 90.00
_cell_angle_beta 90.00
_cell_angle_gamma 90.00
_space_group_name_H-M_alt 'P 4 m m'
_space_group_IT_number 99
_space_group_name_Hall 'P 4 -2'
loop_
_atom_site_label
_atom_site_type_symbol
_atom_site_fract_x
_atom_site_fract_y
_atom_site_fract_z
_atom_site_occupancy
La1 La 0.0000 0.0000 0.0000 1
Ho1 Ho 0.0000 0.0000 0.4702 1
Al1 Al 0.5000 0.5000 0.2521 1
Cd1 Cd 0.5000 0.5000 0.7073 1

# YInBr2 PBE-GGA relaxed
# Total magnetic moment ... 0.3 μB per formula unit
# Distance to the lowest polymorph of the same formula ... 50 meV per atom
# E_form (uncorrected) ... -990 meV per atom
data_YInBr2
_cell_length_a 12.5054
_cell_length_b 3.7304
_cell_length_c 6.6196
_cell_angle_alpha 90.00
_cell_angle_beta 120.58
_cell_angle_gamma 90.00
_space_group_name_H-M_alt 'C 1 m 1'
_space_group_IT_number 8
_space_group_name_Hall 'C -2y'
loop_
_atom_site_label
_atom_site_type_symbol
_atom_site_fract_x
_atom_site_fract_y
_atom_site_fract_z
_atom_site_occupancy
Y1 Y 0.0000 0.0000 0.0000 1
In1 In 0.2708 0.0000 0.5282 1
Br1 Br 0.1361 0.5000 0.8992 1
Br2 Br 0.4439 0.0000 0.2530 1

# LaTm2PaAs4 PBE-GGA relaxed
# Total magnetic moment ... 0.6 μB per formula unit
# Total energy ... -53.06 eV per cell
data_LaTm2PaAs4
_cell_length_a 7.1260
_cell_length_b 4.1487
_cell_length_c 7.2148
_cell_angle_alpha 90.00
_cell_angle_beta 109.49
_cell_angle_gamma 90.00
_space_group_name_H-M_alt 'P 1 2/m 1'
_space_group_IT_number 10
_space_group_name_Hall '-P 2y'
loop_
_atom_site_label
_atom_site_type_symbol
_atom_site_fract_x
_atom_site_fract_y
_atom_site_fract_z
_atom_site_occupancy
La1 La 0.0000 0.0000 0.0000 1
Tm1 Tm 0.5000 0.0000 0.5000 1
Tm2 Tm 0.5000 0.5000 0.0000 1
Pa1 Pa 0.0000 0.5000 0.5000 1
As1 As 0.2562 0.0000 0.7439 1
As2 As 0.2602 0.5000 0.2638 1

# PuZn5Cu4 PBE-GGA relaxed
# Total magnetic moment ... 5.5 μB per formula unit
# Total energy ... -37.93 eV per cell
data_PuZn5Cu4
_cell_length_a 2.9999
_cell_length_b 2.9999
_cell_length_c 16.2018
_cell_angle_alpha 90.00
_cell_angle_beta 90.00
_cell_angle_gamma 90.00
_space_group_name_H-M_alt 'P 4/m m m'
_space_group_IT_number 123
_space_group_name_Hall '-P 4 2'
loop_
_atom_site_label
_atom_site_type_symbol
_atom_site_fract_x
_atom_site_fract_y
_atom_site_fract_z
_atom_site_occupancy
Pu1 Pu 0.0000 0.0000 0.0000 1
Zn1 Zn 0.5000 0.5000 0.1418 1
Zn2 Zn 0.5000 0.5000 0.3209 1
Zn3 Zn 0.5000 0.5000 0.5000 1
Cu1 Cu 0.0000 0.0000 0.2312 1
Cu2 Cu 0.0000 0.0000 0.4109 1

# Ag2PtWI PBE-GGA relaxed
# Total magnetic moment ... 4.6 μB per formula unit
# E_form (uncorrected) ... 1946 meV per atom
data_Ag2PtWI
_cell_length_a 5.2003
_cell_length_b 5.2003
_cell_length_c 5.1237
_cell_angle_alpha 90.00
_cell_angle_beta 90.00
_cell_angle_gamma 90.00
_space_group_name_H-M_alt 'P 4/m m m'
_space_group_IT_number 123
_space_group_name_Hall '-P 4 2'
loop_
_atom_site_label
_atom_site_type_symbol
_atom_site_fract_x
_atom_site_fract_y
_atom_site_fract_z
_atom_site_occupancy
Ag1 Ag 0.0000 0.5000 0.0000 1
Pt1 Pt 0.0000 0.0000 0.5000 1
W1 W 0.5000 0.5000 0.5000 1
I1 I 0.0000 0.0000 0.0000 1

# Ho4ErIn2 PBE-GGA relaxed
# Total magnetic moment ... 0.0 μB per formula unit
# Distance to the lowest polymorph of the same formula ... 0 meV per atom
data_Ho4ErIn2
_cell_length_a 6.6871
_cell_length_b 10.5758
_cell_length_c 6.8129
_cell_angle_alpha 90.00
_cell_angle_beta 118.36
_cell_angle_gamma 90.00
_space_group_name_H-M_alt 'P 1 21/c 1'
_space_group_IT_number 14
_space_group_name_Hall '-P 2ybc'
loop_
_atom_site_label
_atom_site_type_symbol
_atom_site_fract_x
_atom_site_fract_y
_atom_site_fract_z
_atom_site_occupancy
Ho1 Ho 0.0781 0.1689 0.0309 1
Ho2 Ho 0.4017 0.7372 0.9552 1
Er1 Er 0.0000 0.0000 0.5000 1
In1 In 0.4763 0.5136 0.7159 1

# LaTmTc2O8 PBE-GGA relaxed
# Total magnetic moment ... 2.0 μB per formula unit
# E_form (uncorrected) ... -1507 meV per atom
data_LaTmTc2O8
_cell_length_a 5.0257
_cell_length_b 5.0257
_cell_length_c 7.1272
_cell_angle_alpha 90.00
_cell_angle_beta 90.00
_cell_angle_gamma 120.00
_space_group_name_H-M_alt 'P -3 1 m'
_space_group_IT_number 162
_space_group_name_Hall '-P 3 2'
loop_
_atom_site_label
_atom_site_type_symbol
_atom_site_fract_x
_atom_site_fract_y
_atom_site_fract_z
_atom_site_occupancy
La1 La 0.0000 0.0000 0.0000 1
Tm1 Tm 0.0000 0.0000 0.5000 1
Tc1 Tc 0.3333 0.6667 0.5000 1
O1 O 0.0000 0.3448 0.6761 1
O2 O 0.3333 0.6667 0.0000 1

# ZrAgH2 PBE-GGA relaxed
# Total magnetic moment ... 0.0 μB per formula unit
# Distance to the lowest polymorph of the same formula ... 143 meV per atom
data_ZrAgH2
_cell_length_a 5.6623
_cell_length_b 5.6623
_cell_length_c 5.6623
_cell_angle_alpha 90.00
_cell_angle_beta 90.00
_cell_angle_gamma 90.00
_space_group_name_H-M_alt 'F m -3 m'
_space_group_IT_number 225
_space_group_name_Hall '-F 4 2 3'
loop_
_atom_site_label
_atom_site_type_symbol
_atom_site_fract_x
_atom_site_fract_y
_atom_site_fract_z
_atom_site_occupancy
Zr1 Zr 0.0000 0.0000 0.0000 1
Ag1 Ag 0.0000 0.0000 0.5000 1
H1 H 0.2500 0.2500 0.2500 1

# ScCo2Ir PBE-GGA relaxed
# Total magnetic moment ... 3.8 μB per formula unit
# Total energy ... -120.31 eV per cell
data_ScCo2Ir
_cell_length_a 6.1043
_cell_length_b 6.1043
_cell_length_c 6.1043
_cell_angle_alpha 90.00
_cell_angle_beta 90.00
_cell_angle_gamma 90.00
_space_group_name_H-M_alt 'F -4 3 m'
_space_group_IT_number 216
_space_group_name_Hall 'F -4 2 3'
loop_
_atom_site_label
_atom_site_type_symbol
_atom_site_fract_x
_atom_site_fract_y
_atom_site_fract_z
_atom_site_occupancy
Sc1 Sc 0.0000 0.0000 0.0000 1
Co1 Co 0.0000 0.0000 0.5000 1
Co2 Co 0.2500 0.2500 0.2500 1
Ir1 Ir 0.2500 0.2500 0.7500 1

# PtRh3Cl PBE-GGA relaxed
# Total magnetic moment ... 0.3 μB per formula unit
# Distance to the lowest polymorph of the same formula ... 0 meV per atom
# E_form (uncorrected) ... 880 meV per atom
data_PtRh3Cl
_cell_length_a 4.3612
_cell_length_b 4.3612
_cell_length_c 4.3612
_cell_angle_alpha 90.00
_cell_angle_beta 90.00
_cell_angle_gamma 90.00
_space_group_name_H-M_alt 'P m -3 m'
_space_group_IT_number 221
_space_group_name_Hall '-P 4 2 3'
loop_
_atom_site_label
_atom_site_type_symbol
_atom_site_fract_x
_atom_site_fract_y
_atom_site_fract_z
_atom_site_occupancy
Pt1 Pt 0.0000 0.0000 0.0000 1
Rh1 Rh 0.0000 0.5000 0.5000 1
Cl1 Cl 0.5000 0.5000 0.5000 1

# Tl3NiAu PBE-GGA relaxed
# Total magnetic moment ... 0.0 μB per formula unit
# Distance to the lowest polymorph of the same formula ... 0 meV per atom
data_Tl3NiAu
_cell_length_a 5.1034
_cell_length_b 5.1034
_cell_length_c 5.1034
_cell_angle_alpha 90.00
_cell_angle_beta 90.00
_cell_angle_gamma 90.00
_space_group_name_H-M_alt 'P m -3 m'
_space_group_IT_number 221
_space_group_name_Hall '-P 4 2 3'
loop_
_atom_site_label
_atom_site_type_symbol
_atom_site_fract_x
_atom_site_fract_y
_atom_site_fract_z
_atom_site_occupancy
Tl1 Tl 0.0000 0.0000 0.5000 1
Ni1 Ni 0.0000 0.0000 0.0000 1
Au1 Au 0.5000 0.5000 0.5000 1

# Tl2GaSnSe5 PBE-GGA relaxed
# Total magnetic moment ... 0.0 μB per formula unit
# E_form (uncorrected) ... -397 meV per atom
data_Tl2GaSnSe5
_cell_length_a 3.9126
_cell_length_b 19.2009
_cell_length_c 13.2234
_cell_angle_alpha 90.00
_cell_angle_beta 90.00
_cell_angle_gamma 90.00
_space_group_name_H-M_alt 'C m c 21'
_space_group_IT_number 36
_space_group_name_Hall 'C 2c -2'
loop_
_atom_site_label
_atom_site_type_symbol
_atom_site_fract_x
_atom_site_fract_y
_atom_site_fract_z
_atom_site_occupancy
Tl1 Tl 0.0000 0.1101 0.0000 1
Tl2 Tl 0.0000 0.1259 0.6494 1
Ga1 Ga 0.0000 0.4452 0.7612 1
Sn1 Sn 0.0000 0.2058 0.3584 1
Se1 Se 0.0000 0.0494 0.3744 1
Se2 Se 0.0000 0.2892 0.0030 1
Se3 Se 0.0000 0.3197 0.7133 1
Se4 Se 0.0000 0.3425 0.3182 1
Se5 Se 0.0000 0.4885 0.1094 1